(1)
Entry from OQMD: an optimized crystal structure of NaTmBe (PBE).

Properties
The calculation puts the excess energy over the best structure of this formula in the dataset at 0.000 eV/atom. The space-group type is F-43m, No. 216.

Unit cell a=4.6873 b=4.6873 c=4.6873 alpha=60.00 beta=60.00 gamma=60.00
Closest atoms and distances in Å follow each position.
Fractional coordinates of all 3 atoms:
Be 0.0000 0.0000 0.0000  4 Na 2.87, 4 Tm 2.87
Na 0.2500 0.2500 0.2500  4 Be 2.87
Tm 0.7500 0.7500 0.7500  4 Be 2.87

***

(2)
Entry from OQMD: an optimized crystal structure of ThCN3 (PBE).

Properties
The space-group type is P2_1/m, No. 11.

Unit cell a=4.4515 b=4.7514 c=6.2026 alpha=90.00 beta=108.70 gamma=90.00
Closest atoms and distances in Å follow each position.
Fractional coordinates of all 10 atoms:
C 0.5014 0.7500 0.2412  3 N 1.34-1.36
C 0.4986 0.2500 0.7588  3 N 1.34-1.36
N 0.1909 0.7500 0.1246  1 C 1.34
N 0.6790 0.5187 0.3259  1 C 1.36
N 0.6790 0.9813 0.3259  1 C 1.36
N 0.3210 0.0187 0.6741  1 C 1.36
N 0.3210 0.4813 0.6741  1 C 1.36
N 0.8091 0.2500 0.8754  1 C 1.34
Th 0.1089 0.2500 0.2727  7 N 2.40-2.61
Th 0.8911 0.7500 0.7273  7 N 2.40-2.61

***

(3)
Entry from OQMD: an optimized crystal structure of Zn2OF2 (PBE).

Properties
The calculation puts the excess energy over the best structure of this formula in the dataset at 0.000 eV/atom. The space-group type is Ibam, No. 72.

Unit cell a=5.4292 b=5.0993 c=5.5294 alpha=117.46 beta=119.40 gamma=90.00
Closest atoms and distances in Å follow each position.
Fractional coordinates of all 10 atoms:
F 0.1578 0.5744 0.3156  2 Zn 1.94-2.03
F 0.6578 0.7412 0.3156  2 Zn 1.94-2.03
F 0.3422 0.2588 0.6844  2 Zn 1.94-2.03
F 0.8422 0.4256 0.6844  2 Zn 1.94-2.03
O 0.2500 0.0000 0.0000  4 Zn 1.94
O 0.7500 0.0000 0.0000  4 Zn 1.94
Zn 0.1069 0.8943 0.2138  2 F 1.94-2.03, 2 O 1.94
Zn 0.6069 0.3195 0.2138  2 F 1.94-2.03, 2 O 1.94
Zn 0.3931 0.6805 0.7862  2 F 1.94-2.03, 2 O 1.94
Zn 0.8931 0.1057 0.7862  2 F 1.94-2.03, 2 O 1.94

***

(4)
Entry from OQMD: an optimized crystal structure of Dy3Fe2Co6Ni (PBE).

Properties
As for the formation energy: -0.192 eV per atom. The space-group type is R-3m, No. 166.

Unit cell a=8.5310 b=8.5310 c=8.5310 alpha=34.11 beta=34.11 gamma=34.11
Closest atoms and distances in Å follow each position.
Fractional coordinates of all 12 atoms:
Co 0.5811 0.5811 0.0800  2 Fe 2.41-2.43, 4 Co 2.50-2.51, 1 Ni 2.53
Co 0.9200 0.4189 0.4189  2 Fe 2.41-2.43, 4 Co 2.50-2.51, 1 Ni 2.53
Co 0.4189 0.9200 0.4189  2 Fe 2.41-2.43, 4 Co 2.50-2.51, 1 Ni 2.53
Co 0.5811 0.0800 0.5811  2 Fe 2.41-2.43, 4 Co 2.50-2.51, 1 Ni 2.53
Co 0.0800 0.5811 0.5811  2 Fe 2.41-2.43, 4 Co 2.50-2.51, 1 Ni 2.53
Co 0.4189 0.4189 0.9200  2 Fe 2.41-2.43, 4 Co 2.50-2.51, 1 Ni 2.53
Dy 0.0000 0.0000 0.0000  6 Fe 2.89, 12 Co 3.17
Dy 0.1401 0.1401 0.1401  9 Co 2.88-3.07, 3 Ni 2.96, 3 Dy 3.16
Dy 0.8599 0.8599 0.8599  9 Co 2.88-3.07, 3 Ni 2.96, 3 Dy 3.16
Fe 0.3338 0.3338 0.3338  6 Co 2.41-2.43
Fe 0.6662 0.6662 0.6662  6 Co 2.41-2.43
Ni 0.5000 0.5000 0.5000  6 Co 2.53

***

(5)
Entry from OQMD: an optimized crystal structure of OsPb3O6 (PBE).

Properties
The space-group type is R-3, No. 148.

Unit cell a=5.7776 b=5.7776 c=5.7776 alpha=64.08 beta=64.08 gamma=64.08
Closest atoms and distances in Å follow each position.
Fractional coordinates of all 10 atoms:
O 0.3825 0.6852 0.1800  1 Os 1.94
O 0.8200 0.6175 0.3148  1 Os 1.94
O 0.6852 0.1800 0.3825  1 Os 1.94
O 0.3148 0.8200 0.6175  1 Os 1.94
O 0.1800 0.3825 0.6852  1 Os 1.94
O 0.6175 0.3148 0.8200  1 Os 1.94
Os 0.5000 0.5000 0.5000  6 O 1.94
Pb 0.0000 0.0000 0.0000  6 O 2.47
Pb 0.2635 0.2635 0.2635  6 O 2.47-2.61
Pb 0.7365 0.7365 0.7365  6 O 2.47-2.61

***

(6)
Entry from OQMD: an optimized crystal structure of YCuB (PBE).

Properties
The space-group type is F-43m, No. 216.

Unit cell a=4.3573 b=4.3573 c=4.3573 alpha=60.00 beta=60.00 gamma=60.00
Closest atoms and distances in Å follow each position.
Fractional coordinates of all 3 atoms:
B 0.2500 0.2500 0.2500  4 Y 2.67
Cu 0.7500 0.7500 0.7500  4 Y 2.67
Y 0.0000 0.0000 0.0000  4 Cu 2.67, 4 B 2.67

***

(7)
Entry from OQMD: an optimized crystal structure of AcLu2W (PBE).

Properties
As for the formation energy: 0.690 eV per atom. The space-group type is P3m1, No. 156.

Unit cell a=5.2163 b=5.2163 c=5.5458 alpha=90.00 beta=90.00 gamma=120.00
Closest atoms and distances in Å follow each position.
Fractional coordinates of all 4 atoms:
Ac 0.0000 0.0000 0.1170  3 W 3.07, 3 Lu 3.38
Lu 0.6667 0.3333 0.3923  3 W 3.15, 3 Ac 3.38, 3 Lu 3.49
Lu 0.3333 0.6667 0.7098  2 W 2.70-2.85
W 0.3333 0.6667 0.2236  2 Lu 2.70-2.85

***

(8)
Entry from OQMD: an optimized crystal structure of CoBTe (PBE).

Properties
The calculation puts the excess energy over the best structure of this formula in the dataset at 0.000 eV/atom. The space-group type is F-43m, No. 216.

Unit cell a=3.9504 b=3.9504 c=3.9504 alpha=60.00 beta=60.00 gamma=60.00
Closest atoms and distances in Å follow each position.
Fractional coordinates of all 3 atoms:
B 0.2500 0.2500 0.2500  4 Co 2.42
Co 0.0000 0.0000 0.0000  4 Te 2.42, 4 B 2.42
Te 0.7500 0.7500 0.7500  4 Co 2.42

***

(9)
Entry from OQMD: an optimized crystal structure of SrSmZr (PBE).

Properties
The space-group type is F-43m, No. 216.

Unit cell a=5.4809 b=5.4809 c=5.4809 alpha=60.00 beta=60.00 gamma=60.00
Closest atoms and distances in Å follow each position.
Fractional coordinates of all 3 atoms:
Sm 0.0000 0.0000 0.0000  4 Zr 3.36, 4 Sr 3.36
Sr 0.2500 0.2500 0.2500  4 Sm 3.36
Zr 0.7500 0.7500 0.7500  4 Sm 3.36

***

(10)
Entry from OQMD: an optimized crystal structure of RbNdAuSe3 (PBE).

Properties
The space-group type is Cmcm, No. 63.

Unit cell a=8.0766 b=8.0766 c=10.9446 alpha=90.00 beta=90.00 gamma=149.95
Closest atoms and distances in Å follow each position.
Fractional coordinates of all 12 atoms:
Au 0.9662 0.0338 0.2500  4 Se 2.60-2.67
Au 0.0338 0.9662 0.7500  4 Se 2.60-2.67
Nd 0.5000 0.5000 0.0000  6 Se 2.96-2.98
Nd 0.5000 0.5000 0.5000  6 Se 2.96-2.98
Rb 0.2500 0.7500 0.2500  8 Se 3.47-3.84
Rb 0.7500 0.2500 0.7500  8 Se 3.47-3.84
Se 0.8697 0.1303 0.0560  1 Au 2.60
Se 0.5727 0.4273 0.2500  2 Au 2.67, 2 Nd 2.96
Se 0.8697 0.1303 0.4440  1 Au 2.60
Se 0.1303 0.8697 0.5560  1 Au 2.60
Se 0.4273 0.5727 0.7500  2 Au 2.67, 2 Nd 2.96
Se 0.1303 0.8697 0.9440  1 Au 2.60

***

(11)
Entry from OQMD: an optimized crystal structure of DyHoZn2As2O2 (PBE).

Properties
The space-group type is P4mm, No. 99.

Unit cell a=3.9378 b=3.9378 c=8.8601 alpha=90.00 beta=90.00 gamma=90.00
Closest atoms and distances in Å follow each position.
Fractional coordinates of all 8 atoms:
As 0.0000 0.0000 0.3157  4 Zn 2.56
As 0.5000 0.5000 0.6845  4 Zn 2.56
Dy 0.0000 0.0000 0.8771  4 O 2.25
Ho 0.5000 0.5000 0.1217  4 O 2.24
O 0.5000 0.0000 0.0007  2 Ho 2.24, 2 Dy 2.25
O 0.0000 0.5000 0.0007  2 Ho 2.24, 2 Dy 2.25
Zn 0.5000 0.0000 0.4998  4 As 2.56, 4 Zn 2.78
Zn 0.0000 0.5000 0.4998  4 As 2.56, 4 Zn 2.78

***

| no. | total DFT energy (no corrections) (eV/atom) |
| --- | --- |
| 1 | -2.50 |
| 2 | -8.95 |
| 3 | -4.10 |
| 4 | -6.74 |
| 5 | -6.25 |
| 6 | -4.75 |
| 7 | -5.84 |
| 8 | -4.97 |
| 9 | -3.82 |
| 10 | -4.35 |
| 11 | -5.70 |